Entry 1:
Material: Tc2AuF
Method: DFT, PBE
State: relaxed

Cell and atoms, written as POSCAR:
```
Tc2AuF
1.0
0.000 3.075 3.075
3.075 0.000 3.075
3.075 3.075 0.000
Tc Au F
2 1 1
direct
0.250 0.250 0.250
0.750 0.750 0.750
0.000 0.000 0.000
0.500 0.500 0.500
```

Summary:
Symmetry = Fm-3m (225)
Formation energy from raw total energies = 2.1 eV/f.u.
Distance to the lowest polymorph of the same formula = 0.116 eV per atom

***

Entry 2:
Material: Ho4ThSc6
Method: DFT, PBE
State: relaxed

Cell and atoms, written as POSCAR:
```
Ho4ThSc6
1.0
-3.668 3.668 6.190
3.668 -3.668 6.190
3.668 3.668 -6.190
Ho Th Sc
4 1 6
direct
0.246 0.246 0.651
0.405 0.754 0.000
0.595 0.595 0.349
0.754 0.405 0.000
0.000 0.000 0.000
0.000 0.500 0.500
0.071 0.580 0.000
0.420 0.420 0.491
0.500 0.000 0.500
0.580 0.071 0.000
0.929 0.929 0.509
```

Summary:
Symmetry = I-42m (121)
E_form = 530 meV per atom

***

Entry 3:
Material: NaTlBi2O
Method: DFT, PBE
State: relaxed

Cell and atoms, written as POSCAR:
```
NaTlBi2O
1.0
5.436 0.000 0.000
0.000 5.436 0.000
0.000 0.000 5.657
Na Tl Bi O
1 1 2 1
direct
0.000 0.000 0.000
0.000 0.000 0.500
0.000 0.500 0.000
0.500 0.000 0.000
0.500 0.500 0.500
```

Summary:
Symmetry = P4/mmm (123)
Formation energy from raw total energies = 4.6 eV/f.u.

***

Entry 4:
Material: CeAlSiIr3
Method: DFT, PBE
State: relaxed

Cell and atoms, written as POSCAR:
```
CeAlSiIr3
1.0
2.807 -7.572 0.000
2.807 7.572 0.000
0.000 0.000 5.651
Ce Al Si Ir
2 2 2 6
direct
0.229 0.771 0.750
0.771 0.229 0.250
0.098 0.902 0.250
0.902 0.098 0.750
0.417 0.583 0.250
0.583 0.417 0.750
0.247 0.247 0.000
0.247 0.247 0.500
0.261 0.739 0.250
0.739 0.261 0.750
0.753 0.753 0.000
0.753 0.753 0.500
```

Summary:
Symmetry = Cmcm (63)
Formation energy from raw total energies = -3.7 eV/f.u.

***

Entry 5:
Material: Ta2ZnHg
Method: DFT, PBE
State: relaxed

Cell and atoms, written as POSCAR:
```
Ta2ZnHg
1.0
-2.009 2.009 4.382
2.009 -2.009 4.382
2.009 2.009 -4.382
Ta Zn Hg
2 1 1
direct
0.250 0.750 0.500
0.750 0.250 0.500
0.000 0.000 0.000
0.500 0.500 0.000
```

Summary:
Symmetry = I4/mmm (139)
E_form = 203 meV per atom
Distance to the lowest polymorph of the same formula = 0.069 eV per atom

***

Entry 6:
Material: GaCoOs2
Method: DFT, PBE
State: relaxed

Cell and atoms, written as POSCAR:
```
GaCoOs2
1.0
-2.826 2.826 4.886
2.826 -2.826 4.886
2.826 2.826 -4.886
Ga Co Os
2 2 4
direct
0.000 0.000 0.000
0.750 0.250 0.500
0.250 0.750 0.500
0.500 0.500 0.000
0.160 0.625 0.035
0.375 0.410 0.535
0.590 0.125 0.965
0.875 0.840 0.465
```

Summary:
Symmetry = I-42d (122)
E_form = 1429 meV per atom

***

Entry 7:
Material: Cr3AgGe
Method: DFT, PBE
State: relaxed

Cell and atoms, written as POSCAR:
```
Cr3AgGe
1.0
4.764 0.000 0.000
0.000 4.764 0.000
0.000 0.000 4.764
Cr Ag Ge
3 1 1
direct
0.000 0.000 0.500
0.000 0.500 0.000
0.500 0.000 0.000
0.500 0.500 0.500
0.000 0.000 0.000
```

Summary:
Symmetry = Pm-3m (221)
E_form = 1006 meV per atom
Distance to the lowest polymorph of the same formula = 0.000 eV per atom

***

Entry 8:
Material: TbHoRh
Method: DFT, PBE
State: relaxed

Cell and atoms, written as POSCAR:
```
TbHoRh
1.0
1.914 -5.928 0.000
1.914 5.928 0.000
0.000 0.000 6.594
Tb Ho Rh
2 2 2
direct
0.216 0.784 0.750
0.784 0.216 0.250
0.500 0.500 0.000
0.500 0.500 0.500
0.117 0.883 0.250
0.883 0.117 0.750
```

Summary:
Symmetry = Cmcm (63)
E_form = -631 meV per atom
Distance to the lowest polymorph of the same formula = 0.015 eV per atom

***

Entry 9:
Material: TbMgAlIn
Method: DFT, PBE
State: relaxed

Cell and atoms, written as POSCAR:
```
TbMgAlIn
1.0
0.000 3.597 3.597
3.597 0.000 3.597
3.597 3.597 0.000
Tb Mg Al In
1 1 1 1
direct
0.000 0.000 0.000
0.500 0.500 0.500
0.750 0.750 0.750
0.250 0.250 0.250
```

Summary:
Symmetry = F-43m (216)
E_form = -218 meV per atom
Distance to the lowest polymorph of the same formula = 0.139 eV per atom

***

Entry 10:
Material: CrRu3
Method: DFT, PBE
State: relaxed

Cell and atoms, written as POSCAR:
```
CrRu3
1.0
-1.353 4.253 2.329
1.353 -4.253 2.329
1.353 4.253 -2.329
Cr Ru
1 3
direct
0.000 0.000 0.000
0.076 0.329 0.746
0.491 0.991 0.500
0.583 0.329 0.254
```

Summary:
Symmetry = Imm2 (44)
E_form = 7 meV per atom

***

Entry 11:
Material: Si3BiW
Method: DFT, PBE
State: relaxed

Cell and atoms, written as POSCAR:
```
Si3BiW
1.0
4.845 0.000 0.000
0.000 4.845 0.000
0.000 0.000 4.845
Si Bi W
3 1 1
direct
0.000 0.000 0.500
0.000 0.500 0.000
0.500 0.000 0.000
0.500 0.500 0.500
0.000 0.000 0.000
```

Summary:
Symmetry = Pm-3m (221)
Formation energy from raw total energies = 3.4 eV/f.u.
Distance to the lowest polymorph of the same formula = 0.000 eV per atom

***

Entry 12:
Material: Mn2CdPt
Method: DFT, PBE
State: relaxed

Cell and atoms, written as POSCAR:
```
Mn2CdPt
1.0
4.551 -1.456 0.000
4.551 1.456 0.000
-0.936 0.000 4.971
Mn Cd Pt
2 1 1
direct
0.243 0.243 0.237
0.757 0.757 0.763
0.000 0.000 0.500
0.500 0.500 0.000
```

Summary:
Symmetry = C2/m (12)
E_form = 61 meV per atom

***

Entry 13:
Material: Cs2NaSb
Method: DFT, PBE
State: relaxed

Cell and atoms, written as POSCAR:
```
Cs2NaSb
1.0
-2.749 2.749 12.810
2.749 -2.749 12.810
2.749 2.749 -12.810
Cs Na Sb
4 2 2
direct
0.122 0.625 0.997
0.375 0.372 0.497
0.628 0.125 0.003
0.875 0.878 0.503
0.000 0.000 0.000
0.750 0.250 0.500
0.250 0.750 0.500
0.500 0.500 0.000
```

Summary:
Symmetry = I-42d (122)
Formation energy from raw total energies = 0.0 eV/f.u.

***

Entry 14:
Material: YRhSCl2
Method: DFT, PBE
State: relaxed

Cell and atoms, written as POSCAR:
```
YRhSCl2
1.0
5.186 0.000 0.000
0.000 5.186 0.000
0.000 0.000 5.346
Y Rh S Cl
1 1 1 2
direct
0.000 0.000 0.000
0.500 0.500 0.500
0.000 0.000 0.500
0.000 0.500 0.000
0.500 0.000 0.000
```

Summary:
Symmetry = P4/mmm (123)
Formation energy from raw total energies = -2.9 eV/f.u.
Distance to the lowest polymorph of the same formula = 0.082 eV per atom

***

Entry 15:
Material: CaNd2NpP4
Method: DFT, PBE
State: relaxed

Cell and atoms, written as POSCAR:
```
CaNd2NpP4
1.0
7.078 0.000 0.000
0.000 4.103 0.000
-2.320 0.000 6.693
Ca Nd Np P
1 2 1 4
direct
0.000 0.000 0.000
0.500 0.000 0.500
0.500 0.500 0.000
0.000 0.500 0.500
0.237 0.000 0.736
0.240 0.500 0.262
0.760 0.500 0.738
0.763 0.000 0.264
```

Summary:
Symmetry = P2/m (10)
E_form = -1223 meV per atom

***

Entry 16:
Material: TbY5Hg4
Method: DFT, PBE
State: relaxed

Cell and atoms, written as POSCAR:
```
TbY5Hg4
1.0
3.693 0.000 0.000
0.000 3.693 0.000
0.000 0.000 20.045
Tb Y Hg
1 5 4
direct
0.000 0.000 0.000
0.500 0.500 0.123
0.500 0.500 0.312
0.500 0.500 0.500
0.500 0.500 0.688
0.500 0.500 0.877
0.000 0.000 0.216
0.000 0.000 0.405
0.000 0.000 0.595
0.000 0.000 0.784
```

Summary:
Symmetry = P4/mmm (123)
E_form = -395 meV per atom

***

Entry 17:
Material: SmFeCo
Method: DFT, PBE
State: relaxed

Cell and atoms, written as POSCAR:
```
SmFeCo
1.0
3.979 0.000 0.000
0.000 3.979 0.000
0.000 0.000 6.985
Sm Fe Co
2 2 2
direct
0.250 0.250 0.173
0.750 0.750 0.827
0.250 0.750 0.500
0.750 0.250 0.500
0.250 0.250 0.685
0.750 0.750 0.315
```

Summary:
Symmetry = P4/nmm (129)
E_form = -24 meV per atom

***

Entry 18:
Material: NaBi2AsC
Method: DFT, PBE
State: relaxed

Cell and atoms, written as POSCAR:
```
NaBi2AsC
1.0
5.557 0.000 0.000
0.000 5.557 0.000
0.000 0.000 5.351
Na Bi As C
1 2 1 1
direct
0.000 0.000 0.000
0.000 0.500 0.500
0.500 0.000 0.500
0.000 0.000 0.500
0.500 0.500 0.000
```

Summary:
Symmetry = P4/mmm (123)
E_form = 1538 meV per atom

***

Entry 19:
Material: Li2SmDy2Ge2
Method: DFT, PBE
State: relaxed

Cell and atoms, written as POSCAR:
```
Li2SmDy2Ge2
1.0
2.244 1.296 8.985
-2.244 1.296 8.985
0.000 -2.591 8.985
Li Sm Dy Ge
2 1 2 2
direct
0.097 0.097 0.097
0.903 0.903 0.903
0.500 0.500 0.500
0.373 0.373 0.373
0.627 0.627 0.627
0.238 0.238 0.238
0.762 0.762 0.762
```

Summary:
Symmetry = R-3m (166)
E_form = -485 meV per atom

***

Entry 20:
Material: TmHfZrNb
Method: DFT, PBE
State: relaxed

Cell and atoms, written as POSCAR:
```
TmHfZrNb
1.0
0.000 3.554 3.554
3.554 0.000 3.554
3.554 3.554 0.000
Tm Hf Zr Nb
1 1 1 1
direct
0.000 0.000 0.000
0.250 0.250 0.250
0.750 0.750 0.750
0.500 0.500 0.500
```

Summary:
Symmetry = F-43m (216)
E_form = 209 meV per atom